No. 1
# CrNiSb2

Crystalline CrNiSb2 at its relaxed geometry (PBE, Alexandria).

Magnetization = 3.95 μB per formula unit
Calculated density = 7.4 g/cm3
Offset from the most stable computed form = 244.3 meV/atom
V = 20.0 Å³ per atom
Uncorrected formation energy = 0.184 eV/atom

a = 3.9235 Å, b = 3.9235 Å, c = 17.9803 Å
α = 90.00°, β = 90.00°, γ = 120.00°
Space group R-3m (No. 166, hexagonal axes)
One atom of each set of equivalent atoms:
Cr 0.0000 0.0000 0.0000 (multiplicity 3)
Ni 0.0000 0.0000 0.5000 (multiplicity 3)
Sb 0.0000 0.0000 0.2405 (multiplicity 6)

No. 2
# CrNiSb4

Crystalline CrNiSb4 at its relaxed geometry (PBE, Alexandria).

Magnetization = 1.68 μB per formula unit
Calculated density = 7.6 g/cm3
Offset from the most stable computed form = 0.0 meV/atom
V = 21.8 Å³ per atom
Uncorrected formation energy = 0.008 eV/atom

a = 8.398 Å, b = 14.819 Å, c = 5.501 Å
α = 90.00°, β = 130.05°, γ = 90.00°
Space group C2/c (No. 15)
One atom of each set of equivalent atoms:
Cr 0.000 0.047 0.250 (multiplicity 4)
Ni 0.000 0.311 0.750 (multiplicity 4)
Sb 0.176 0.194 0.206 (multiplicity 8)
Sb 0.196 0.441 0.148 (multiplicity 8)

No. 3
# Cr4NiSb

Crystalline Cr4NiSb at its relaxed geometry (PBE, Alexandria).

Magnetization = 0.00 μB per formula unit
Calculated density = 8.1 g/cm3
V = 13.3 Å³ per atom
Uncorrected formation energy = 0.366 eV/atom

a = 6.830 Å, b = 6.830 Å, c = 6.830 Å
α = 90.00°, β = 90.00°, γ = 90.00°
Space group F-43m (No. 216)
One atom of each set of equivalent atoms:
Cr 0.123 0.123 0.123 (multiplicity 16)
Ni 0.250 0.250 0.750 (multiplicity 4)
Sb 0.000 0.000 0.500 (multiplicity 4)

No. 4
# Cr4Ni2Sb

Crystalline Cr4Ni2Sb at its relaxed geometry (PBE, Alexandria).

Magnetization = 15.47 μB per formula unit
Calculated density = 5.0 g/cm3
V = 21.3 Å³ per atom
Uncorrected formation energy = 1.276 eV/atom

a = 4.905 Å, b = 4.905 Å, c = 12.378 Å
α = 90.00°, β = 90.00°, γ = 90.00°
Space group I4/mmm (No. 139)
One atom of each set of equivalent atoms:
Cr 0.000 0.000 0.216 (multiplicity 4)
Cr 0.000 0.500 0.000 (multiplicity 4)
Ni 0.000 0.000 0.408 (multiplicity 4)
Sb 0.000 0.000 0.000 (multiplicity 2)

No. 5
# CrNiSb2

Crystalline CrNiSb2 at its relaxed geometry (PBE, Alexandria).

Magnetization = 3.21 μB per formula unit
Calculated density = 7.9 g/cm3
Offset from the most stable computed form = 326.8 meV/atom
V = 18.5 Å³ per atom
Uncorrected formation energy = 0.267 eV/atom

a = 3.872 Å, b = 3.872 Å, c = 9.881 Å
α = 90.00°, β = 90.00°, γ = 90.00°
Space group I-4m2 (No. 119)
One atom of each set of equivalent atoms:
Cr 0.000 0.000 0.000 (multiplicity 2)
Ni 0.000 0.500 0.750 (multiplicity 2)
Sb 0.000 0.000 0.500 (multiplicity 2)
Sb 0.000 0.500 0.250 (multiplicity 2)

No. 6
# CrNi12Sb3

Crystalline CrNi12Sb3 at its relaxed geometry (PBE, Alexandria).

Magnetization = 3.20 μB per formula unit
Calculated density = 9.3 g/cm3
V = 12.6 Å³ per atom
Uncorrected formation energy = -0.101 eV/atom

a = 3.701 Å, b = 3.701 Å, c = 14.673 Å
α = 90.00°, β = 90.00°, γ = 90.00°
Space group P4/mmm (No. 123)
One atom of each set of equivalent atoms:
Cr 0.000 0.000 0.000 (multiplicity 1)
Ni 0.000 0.500 0.115 (multiplicity 4)
Ni 0.000 0.500 0.372 (multiplicity 4)
Ni 0.500 0.500 0.000 (multiplicity 1)
Ni 0.500 0.500 0.246 (multiplicity 2)
Ni 0.500 0.500 0.500 (multiplicity 1)
Sb 0.000 0.000 0.242 (multiplicity 2)
Sb 0.000 0.000 0.500 (multiplicity 1)

No. 7
# CrNiSb2

Crystalline CrNiSb2 at its relaxed geometry (PBE, Alexandria).

Magnetization = 3.37 μB per formula unit
Calculated density = 7.9 g/cm3
Offset from the most stable computed form = 339.1 meV/atom
V = 18.6 Å³ per atom
Uncorrected formation energy = 0.279 eV/atom

a = 4.250 Å, b = 5.119 Å, c = 6.854 Å
α = 90.00°, β = 90.00°, γ = 90.00°
Space group Cmmm (No. 65)
One atom of each set of equivalent atoms:
Cr 0.000 0.000 0.000 (multiplicity 2)
Ni 0.000 0.000 0.500 (multiplicity 2)
Sb 0.000 0.500 0.263 (multiplicity 4)

No. 8
# CrNi6Sb

Crystalline CrNi6Sb at its relaxed geometry (PBE, Alexandria).

Magnetization = 2.58 μB per formula unit
Calculated density = 9.0 g/cm3
Offset from the most stable computed form = 4.0 meV/atom
V = 12.1 Å³ per atom
Uncorrected formation energy = -0.063 eV/atom

a = 7.285 Å, b = 10.308 Å, c = 10.332 Å
α = 90.00°, β = 90.00°, γ = 90.00°
Space group Cmmm (No. 65)
One atom of each set of equivalent atoms:
Cr 0.000 0.000 0.243 (multiplicity 4)
Cr 0.000 0.249 0.000 (multiplicity 4)
Ni 0.000 0.000 0.000 (multiplicity 2)
Ni 0.000 0.000 0.500 (multiplicity 2)
Ni 0.000 0.245 0.242 (multiplicity 8)
Ni 0.000 0.500 0.000 (multiplicity 2)
Ni 0.000 0.500 0.500 (multiplicity 2)
Ni 0.244 0.123 0.370 (multiplicity 16)
Ni 0.245 0.128 0.120 (multiplicity 16)
Sb 0.000 0.250 0.500 (multiplicity 4)
Sb 0.000 0.500 0.244 (multiplicity 4)

No. 9
# Cr2Ni2Sb

Crystalline Cr2Ni2Sb at its relaxed geometry (PBE, Alexandria).

Magnetization = 0.00 μB per formula unit
Calculated density = 8.1 g/cm3
Offset from the most stable computed form = 137.4 meV/atom
V = 14.1 Å³ per atom
Uncorrected formation energy = 0.377 eV/atom

a = 6.539 Å, b = 6.539 Å, c = 3.302 Å
α = 90.00°, β = 90.00°, γ = 90.00°
Space group P4/mbm (No. 127)
One atom of each set of equivalent atoms:
Cr 0.106 0.394 0.000 (multiplicity 4)
Ni 0.180 0.680 0.500 (multiplicity 4)
Sb 0.000 0.000 0.000 (multiplicity 2)

No. 10
# Cr2Ni2Sb

Crystalline Cr2Ni2Sb at its relaxed geometry (PBE, Alexandria).

Magnetization = 1.07 μB per formula unit
Calculated density = 8.1 g/cm3
Offset from the most stable computed form = 177.6 meV/atom
V = 14.1 Å³ per atom
Uncorrected formation energy = 0.417 eV/atom

a = 3.683 Å, b = 3.683 Å, c = 10.422 Å
α = 90.00°, β = 90.00°, γ = 90.00°
Space group I4/mmm (No. 139)
One atom of each set of equivalent atoms:
Cr 0.000 0.000 0.101 (multiplicity 4)
Ni 0.000 0.500 0.250 (multiplicity 4)
Sb 0.000 0.000 0.500 (multiplicity 2)

No. 11
# CrNiSb2

Crystalline CrNiSb2 at its relaxed geometry (PBE, Alexandria).

Magnetization = 2.50 μB per formula unit
Calculated density = 8.2 g/cm3
Offset from the most stable computed form = 106.9 meV/atom
V = 18.0 Å³ per atom
Uncorrected formation energy = 0.047 eV/atom

a = 3.938 Å, b = 3.656 Å, c = 10.016 Å
α = 90.00°, β = 90.00°, γ = 90.00°
Space group Amm2 (No. 38)
One atom of each set of equivalent atoms:
Cr 0.000 0.000 0.000 (multiplicity 2)
Ni 0.500 0.000 0.832 (multiplicity 2)
Sb 0.000 0.000 0.281 (multiplicity 2)
Sb 0.500 0.000 0.565 (multiplicity 2)

No. 12
# CrNiSb2

Crystalline CrNiSb2 at its relaxed geometry (PBE, Alexandria).

Magnetization = 3.82 μB per formula unit
Calculated density = 7.8 g/cm3
Offset from the most stable computed form = 348.4 meV/atom
V = 19.0 Å³ per atom
Uncorrected formation energy = 0.288 eV/atom

a = 4.250 Å, b = 5.089 Å, c = 7.012 Å
α = 90.00°, β = 90.00°, γ = 90.00°
Space group Immm (No. 71)
One atom of each set of equivalent atoms:
Cr 0.000 0.000 0.000 (multiplicity 2)
Ni 0.000 0.000 0.500 (multiplicity 2)
Sb 0.000 0.500 0.237 (multiplicity 4)